(1)
VASP calculation (PBE) on CaSi4Pd12 after structural relaxation.

The structure in extended XYZ format:
```
17
Lattice="-4.189 4.189 4.189 4.189 -4.189 4.189 4.189 4.189 -4.189" Properties=species:S:1:pos:R:3 pbc="T T T"
Ca 0.000 0.000 0.000
Si 2.094 2.094 -2.094
Si 2.094 -2.094 2.094
Si -2.094 2.094 2.094
Si 2.094 2.094 2.094
Pd 2.843 0.000 1.398
Pd 5.534 0.000 1.398
Pd 4.189 2.790 -1.345
Pd 1.398 2.843 0.000
Pd 2.790 -1.345 4.189
Pd 4.189 2.790 1.345
Pd 0.000 1.398 2.843
Pd 1.398 5.534 0.000
Pd 2.790 1.345 4.189
Pd 0.000 1.398 5.534
Pd -1.345 4.189 2.790
Pd 1.345 4.189 2.790
```

Results
- E_form (uncorrected) (eV/atom) = -0.4339
- total magnetic moment (μB per formula unit) = 0.000

(2)
VASP calculation (PBE) on CaSi2Pd2 after structural relaxation.

The structure in extended XYZ format:
```
5
Lattice="-2.123 2.123 5.107 2.123 -2.123 5.107 2.123 2.123 -5.107" Properties=species:S:1:pos:R:3 pbc="T T T"
Ca 0.000 0.000 0.000
Si 2.123 0.000 2.554
Si 0.000 2.123 2.554
Pd 0.000 0.000 3.728
Pd 0.000 0.000 6.487
```

Results
- E_form (uncorrected) (eV/atom) = -0.6274
- total magnetic moment (μB per formula unit) = 0.000

(3)
VASP calculation (PBE) on Ca3Si2Pd6 after structural relaxation.

The structure in extended XYZ format:
```
22
Lattice="-4.736 4.736 4.736 4.736 -4.736 4.736 4.736 4.736 -4.736" Properties=species:S:1:pos:R:3 pbc="T T T"
Ca 2.844 0.000 0.000
Ca 6.628 0.000 0.000
Ca 0.000 2.844 0.000
Ca 0.000 0.000 2.844
Ca 0.000 6.628 0.000
Ca 0.000 0.000 6.628
Si 2.368 2.368 -2.368
Si 2.368 -2.368 2.368
Si -2.368 2.368 2.368
Si 2.368 2.368 2.368
Pd 4.736 1.769 -1.769
Pd 4.736 -1.769 1.769
Pd 1.769 4.736 -1.769
Pd 2.967 2.967 0.000
Pd 2.967 0.000 2.967
Pd 1.769 -1.769 4.736
Pd 4.736 1.769 1.769
Pd 0.000 2.967 2.967
Pd -1.769 4.736 1.769
Pd -1.769 1.769 4.736
Pd 1.769 4.736 1.769
Pd 1.769 1.769 4.736
```

Results
- E_form (uncorrected) (eV/atom) = -0.7504
- total magnetic moment (μB per formula unit) = 0.248

Number 1: raw total energy -5.4932 eV per atom, mass density 8.1 g/cm³. Number 2: raw total energy -5.2740 eV per atom, mass density 5.6 g/cm³. Number 3: raw total energy -5.1147 eV per atom, mass density 6.4 g/cm³.